No. 1
Here is crystalline TlSn3Ru at its relaxed geometry from Alexandria via LeMat-Bulk. Energies are from GGA-PBE.

```
TlSn3Ru
1.0
5.6015 0.0000 0.0000
0.0000 5.6015 0.0000
0.0000 0.0000 5.6015
Sn Tl Ru
3 1 1
Cartesian
0.0000 0.0000 2.8008
0.0000 2.8008 0.0000
2.8008 0.0000 0.0000
0.0000 0.0000 0.0000
2.8008 2.8008 2.8008
```

Results
DOS(E_F) ... 0.885 states/eV per atom
Formation energy from the elements ... 7.65 eV per formula unit
Symmetry ... Pm-3m (221)
E_tot ... -16.00 eV per cell
Volume ... 175.8 Å³ per cell
Crystal system ... cubic

---

No. 2
Here is crystalline TmSnRu at its relaxed geometry from Alexandria via LeMat-Bulk. Energies are from GGA-PBE.

```
TmSnRu
1.0
4.6016 0.0000 0.0000
2.3008 3.9851 0.0000
2.3008 1.3284 3.7572
Ru Tm Sn
1 1 1
Cartesian
2.3008 1.3284 0.9393
4.6016 2.6567 1.8786
0.0000 0.0000 0.0000
```

Results
DOS(E_F) ... 0.669 states/eV per atom
Formation energy from the elements ... -1.18 eV per formula unit
Symmetry ... F-43m (216)
E_tot ... -18.93 eV per cell
Volume ... 68.9 Å³ per cell
Crystal system ... cubic

---

No. 3
Here is crystalline Tm3SnRu at its relaxed geometry from Alexandria via LeMat-Bulk. Energies are from GGA-PBE.

```
Tm3SnRu
1.0
5.8241 0.0000 0.0000
0.0000 7.9639 0.0000
0.0000 0.0000 10.6689
Ru Tm Sn
4 12 4
Cartesian
0.3375 4.6999 8.0016
2.5745 0.7180 2.6672
5.4866 3.2639 2.6672
3.2496 7.2459 8.0016
2.9307 2.9062 4.2132
1.4041 2.1679 8.0016
2.8934 5.0577 6.4557
2.8934 5.0577 9.5476
0.0187 1.0757 4.2132
1.5080 6.1498 2.6672
4.4200 5.7960 2.6672
5.8054 6.8881 9.5476
4.3161 1.8141 8.0016
0.0187 1.0757 1.1213
5.8054 6.8881 6.4557
2.9307 2.9062 1.1213
0.0000 3.9819 0.0000
2.9121 0.0000 5.3344
2.9121 0.0000 0.0000
0.0000 3.9819 5.3344
```

Results
DOS(E_F) ... 0.646 states/eV per atom
Formation energy from the elements ... -1.47 eV per formula unit
Symmetry ... Pnma (62)
E_tot ... -112.67 eV per cell
Volume ... 494.8 Å³ per cell
Crystal system ... orthorhombic

---

No. 4
Here is crystalline Tm2SnRu at its relaxed geometry from Alexandria via LeMat-Bulk. Energies are from GGA-PBE.

```
Tm2SnRu
1.0
-2.8653 -2.9197 2.8798
1.9460 -4.0781 2.1469
0.7255 -0.1172 4.9484
Tm Sn Ru
2 1 1
Cartesian
-0.0484 -1.7787 2.4938
-0.1453 -5.3362 7.4814
0.0000 0.0000 0.0000
-0.0969 -3.5575 4.9876
```

Results
DOS(E_F) ... 0.569 states/eV per atom
Formation energy from the elements ... -1.78 eV per formula unit
Symmetry ... Fm-3m (225)
E_tot ... -24.00 eV per cell
Volume ... 88.5 Å³ per cell
Crystal system ... cubic

---

No. 5
Here is crystalline Tm4SnRu3 at its relaxed geometry from Alexandria via LeMat-Bulk. Energies are from GGA-PBE.

```
Tm4SnRu3
1.0
-3.6232 2.3896 -2.0377
-4.2506 -1.8024 5.4442
2.6157 7.9528 4.6752
Tm Sn Ru
8 2 6
Cartesian
-0.3237 1.5737 2.4208
-2.6389 7.9396 2.7208
-1.4812 4.7567 2.5706
-2.6192 0.6003 5.3609
-3.7770 3.7832 5.5111
-2.7890 0.7803 0.2330
-4.9344 6.9662 5.6609
-5.0848 -0.1932 3.1735
-2.1253 -0.9012 2.7221
-0.8175 3.0752 5.0597
0.0000 0.0000 0.0000
1.3079 3.9764 2.3376
0.1504 7.1593 2.4877
-1.1579 3.1831 0.1498
-3.2823 2.2813 2.8724
-1.9758 6.2586 5.2093
```

Results
DOS(E_F) ... 0.604 states/eV per atom
Formation energy from the elements ... -3.77 eV per formula unit
Symmetry ... P4/mmm (123)
E_tot ... -106.97 eV per cell
Volume ... 328.2 Å³ per cell
Crystal system ... tetragonal

---

No. 6
Here is crystalline TmSn3Ru at its relaxed geometry from Alexandria via LeMat-Bulk. Energies are from GGA-PBE.

```
TmSn3Ru
1.0
7.0201 0.4860 0.3721
2.9340 6.3960 0.3721
2.9340 2.0285 6.0772
Sn Ru Tm
6 2 2
Cartesian
5.5800 2.3152 5.8056
7.2032 5.4542 5.7735
9.0900 4.2679 3.7583
4.1367 6.7535 2.7349
7.7792 3.0277 0.7197
7.6467 6.8295 3.1391
9.6411 6.6657 5.1028
3.1970 2.2104 1.6921
11.7630 8.1328 6.2259
5.3190 3.6775 2.8152
```

Results
DOS(E_F) ... 0.400 states/eV per atom
Formation energy from the elements ... -0.65 eV per formula unit
Symmetry ... R3c (161)
E_tot ... -52.81 eV per cell
Volume ... 254.7 Å³ per cell
Crystal system ... trigonal

---

No. 7
Here is crystalline TmSnRu at its relaxed geometry from Alexandria via LeMat-Bulk. Energies are from GGA-PBE.

```
TmSnRu
1.0
3.4257 0.0000 0.0000
0.0000 4.6182 0.0000
0.0000 -2.3091 3.9995
Sn Tm Ru
1 1 1
Cartesian
0.5707 2.3091 1.3331
2.2829 0.0000 2.6663
0.5720 0.0000 0.0000
```

Results
DOS(E_F) ... 0.659 states/eV per atom
Formation energy from the elements ... -1.23 eV per formula unit
Symmetry ... P-6m2 (187)
E_tot ... -18.98 eV per cell
Volume ... 63.3 Å³ per cell
Crystal system ... hexagonal

---

No. 8
Here is crystalline Tm4SnRu2 at its relaxed geometry from Alexandria via LeMat-Bulk. Energies are from GGA-PBE.

```
Tm4SnRu2
1.0
7.8581 -1.4722 -0.4321
-2.0409 7.7420 -0.0821
-3.0221 -3.4697 5.8421
Ru Tm Sn
4 8 2
Cartesian
2.5634 4.9469 1.9718
4.1647 0.6213 0.5808
-2.0708 0.2754 5.1571
1.3093 0.1377 3.5488
2.0559 -1.3425 1.2578
4.1676 0.4971 3.2519
4.3104 3.5068 0.3786
-1.1985 0.4249 2.2542
-0.4741 -2.1297 4.2138
1.6093 2.1741 1.5931
-0.4845 2.4593 4.9435
3.0770 -2.3354 4.4090
2.6242 2.7675 4.5743
-1.1241 3.5587 1.9936
```

Results
DOS(E_F) ... 0.460 states/eV per atom
Formation energy from the elements ... -3.15 eV per formula unit
Symmetry ... Cc (9)
E_tot ... -87.18 eV per cell
Volume ... 322.1 Å³ per cell
Crystal system ... monoclinic